# TaNbAlC, relaxed, DFT PBE-GGA
# raw total energy: -37.00 eV/f.u.
data_TaNbAlC
_chemical_formula_sum 'Ta2 Nb2 Al2 C2'
_symmetry_space_group_name_H-M 'P -3 m 1'
_symmetry_Int_Tables_number 164
_symmetry_space_group_name_Hall '-P 3 2"'
_cell_length_a 3.1086
_cell_length_b 3.1086
_cell_length_c 13.9521
_cell_angle_alpha 90.00
_cell_angle_beta 90.00
_cell_angle_gamma 120.00
loop_
_atom_site_label
_atom_site_type_symbol
_atom_site_fract_x
_atom_site_fract_y
_atom_site_fract_z
_atom_site_occupancy
Ta1 Ta 0.3333 0.6667 0.0896 1
Nb1 Nb 0.3333 0.6667 0.4100 1
Al1 Al 0.3333 0.6667 0.7500 1
C1 C 0.0000 0.0000 0.0000 1
C2 C 0.0000 0.0000 0.5000 1